No. 1
Entry from Alexandria: a geometry-optimized EuReS2 structure (PBE).

Values from the calculation:
total magnetic moment = 5.98 Bohr magnetons per cell
uncorrected energy = -7.984 eV/atom

a b c (Å): 3.6423 3.6423 8.5090
angles (deg): 77.64 77.64 60.00
Closest atoms and distances in Å follow each position.
Positions (direct):
S 0.1156 0.1156 0.6531  3 Re 2.45
S 0.8844 0.8844 0.3469  3 Re 2.45
Eu 0.0000 0.0000 0.0000  2 S 2.86
Re 0.5000 0.5000 0.5000  6 S 2.45


No. 2
Entry from Alexandria: a geometry-optimized SmEuRe4 structure (PBE).

Values from the calculation:
energy relative to the elements = 0.5 eV per formula unit
total magnetic moment = 6.86 Bohr magnetons per cell
uncorrected energy = -10.717 eV/atom

a b c (Å): 5.4702 5.4702 5.4702
angles (deg): 60.00 60.00 60.00
Closest atoms and distances in Å follow each position.
Positions (direct):
Eu 0.0000 0.0000 0.0000  12 Re 3.21, 4 Sm 3.35
Re 0.1251 0.6250 0.6250  6 Re 2.73-2.74
Re 0.6250 0.6250 0.1251  6 Re 2.73-2.74
Re 0.6250 0.6250 0.6250  6 Re 2.73-2.74
Re 0.6250 0.1251 0.6250  6 Re 2.73-2.74
Sm 0.2500 0.2500 0.2500  12 Re 3.21, 4 Eu 3.35


No. 3
Entry from Alexandria: a geometry-optimized Tb2EuRe structure (PBE).

Values from the calculation:
energy relative to the elements = 1.4 eV per formula unit
total magnetic moment = 7.73 Bohr magnetons per cell
uncorrected energy = -7.635 eV/atom

a b c (Å): 3.5465 3.5465 10.7533
angles (deg): 80.51 80.51 60.00
Closest atoms and distances in Å follow each position.
Positions (direct):
Re 0.0000 0.0000 0.0000  6 Tb 2.87
Tb 0.7302 0.7302 0.8095  3 Re 2.87
Tb 0.2698 0.2698 0.1905  3 Re 2.87
Eu 0.5000 0.5000 0.5000  6 Eu 3.55, 6 Tb 3.86


No. 4
Entry from Alexandria: a geometry-optimized TbEuRe4 structure (PBE).

Values from the calculation:
energy relative to the elements = 0.2 eV per formula unit
total magnetic moment = 6.84 Bohr magnetons per cell
uncorrected energy = -10.754 eV/atom

a b c (Å): 5.4487 5.4487 5.4487
angles (deg): 60.00 60.00 60.00
Closest atoms and distances in Å follow each position.
Positions (direct):
Tb 0.2500 0.2500 0.2500  12 Re 3.19, 4 Eu 3.34
Re 0.6249 0.1252 0.6249  6 Re 2.72-2.73
Re 0.6249 0.6249 0.1252  6 Re 2.72-2.73
Re 0.6249 0.6249 0.6249  6 Re 2.72-2.73
Re 0.1252 0.6249 0.6249  6 Re 2.72-2.73
Eu 0.0000 0.0000 0.0000  12 Re 3.19, 4 Tb 3.34


No. 5
Entry from Alexandria: a geometry-optimized EuThRe4 structure (PBE).

Values from the calculation:
energy relative to the elements = 0.5 eV per formula unit
total magnetic moment = 6.13 Bohr magnetons per cell
uncorrected energy = -11.158 eV/atom

a b c (Å): 5.5050 5.5050 5.5050
angles (deg): 60.00 60.00 60.00
Closest atoms and distances in Å follow each position.
Positions (direct):
Eu 0.0000 0.0000 0.0000  12 Re 3.23, 4 Th 3.37
Re 0.6251 0.1248 0.6251  6 Re 2.75
Re 0.1248 0.6251 0.6251  6 Re 2.75
Re 0.6251 0.6251 0.6251  6 Re 2.75
Re 0.6251 0.6251 0.1248  6 Re 2.75
Th 0.2500 0.2500 0.2500  12 Re 3.23, 4 Eu 3.37


No. 6
Entry from Alexandria: a geometry-optimized EuTh2Re structure (PBE).

Values from the calculation:
energy relative to the elements = 0.6 eV per formula unit
total magnetic moment = 8.05 Bohr magnetons per cell
uncorrected energy = -9.251 eV/atom
relative energy among the computed polymorphs = 0 meV/atom

a b c (Å): 3.5170 3.5170 9.7690
angles (deg): 90.00 90.00 90.00
Closest atoms and distances in Å follow each position.
Positions (direct):
Eu 0.5000 0.5000 0.5000  4 Eu 3.52
Re 0.5000 0.5000 0.0000  8 Th 3.06
Th 0.0000 0.0000 0.8183  4 Re 3.06
Th 0.0000 0.0000 0.1817  4 Re 3.06


No. 7
Entry from Alexandria: a geometry-optimized EuTh2Re structure (PBE).

Values from the calculation:
energy relative to the elements = 1.9 eV per formula unit
total magnetic moment = 7.15 Bohr magnetons per cell
uncorrected energy = -8.920 eV/atom
relative energy among the computed polymorphs = 332 meV/atom

a b c (Å): 3.5509 3.5509 11.3130
angles (deg): 80.97 80.97 60.00
Closest atoms and distances in Å follow each position.
Positions (direct):
Eu 0.0000 0.0000 0.0000  2 Th 3.44, 6 Eu 3.55
Th 0.8969 0.8969 0.3092  3 Re 2.95
Th 0.1031 0.1031 0.6908  3 Re 2.95
Re 0.5000 0.5000 0.5000  6 Th 2.95


No. 8
Entry from Alexandria: a geometry-optimized EuTmRe4 structure (PBE).

Values from the calculation:
energy relative to the elements = 0.0 eV per formula unit
total magnetic moment = 6.83 Bohr magnetons per cell
uncorrected energy = -10.763 eV/atom

a b c (Å): 5.4256 5.4256 5.4256
angles (deg): 60.00 60.00 60.00
Closest atoms and distances in Å follow each position.
Positions (direct):
Tm 0.2500 0.2500 0.2500  12 Re 3.18, 4 Eu 3.32
Re 0.1253 0.6249 0.6249  6 Re 2.71
Re 0.6249 0.6249 0.6249  6 Re 2.71
Re 0.6249 0.6249 0.1253  6 Re 2.71
Re 0.6249 0.1253 0.6249  6 Re 2.71
Eu 0.0000 0.0000 0.0000  12 Re 3.18, 4 Tm 3.32